i:
A plane-wave DFT calculation with PBE was carried out for a relaxed structure of CePu2H.

Values from the calculation:
Volume, Å³ per cell: 60.1

Unit cell a=2.7833 b=2.7833 c=9.1026 alpha=81.21 beta=81.21 gamma=60.00
Last column: magnetic moment on the atom in μB.
Sites, in units of the cell vectors:
Pu: 0.1049 0.1049 0.6854  0.48
Pu: 0.8951 0.8951 0.3146  0.48
H: 0.5000 0.5000 0.5000  0.00
Ce: 0.0000 0.0000 0.0000  -0.09

ii:
A plane-wave DFT calculation with PBE was carried out for a relaxed structure of CePu2H.

Values from the calculation:
Volume, Å³ per cell: 79.9

Unit cell a=3.0985 b=3.0985 c=8.3222 alpha=90.00 beta=90.00 gamma=90.00
Last column: magnetic moment on the atom in μB.
Sites, in units of the cell vectors:
Pu: 0.0000 0.0000 0.1802  5.54
Pu: 0.0000 0.0000 0.8198  5.54
H: 0.5000 0.5000 0.0000  -0.03
Ce: 0.5000 0.5000 0.5000  -0.17

Stability comparison, relative energies in kJ/mol of atoms: i 28.2; ii 0.0

i:
A plane-wave DFT calculation with PBE was carried out for a relaxed structure of CePuH2.

Values from the calculation:
Volume, Å³ per cell: 55.6

Unit cell a=3.0383 b=3.0383 c=6.0239 alpha=90.00 beta=90.00 gamma=90.00
Last column: magnetic moment on the atom in μB.
Sites, in units of the cell vectors:
H: 0.0000 0.0000 0.2455  -0.01
H: 0.0000 0.0000 0.7545  -0.01
Pu: 0.5000 0.5000 0.0000  5.72
Ce: 0.5000 0.5000 0.5000  -0.12

ii:
A plane-wave DFT calculation with PBE was carried out for a relaxed structure of CePuH2.

Values from the calculation:
Volume, Å³ per cell: 60.2

Unit cell a=3.5055 b=3.5055 c=6.0100 alpha=73.04 beta=73.04 gamma=60.00
Last column: magnetic moment on the atom in μB.
Sites, in units of the cell vectors:
H: 0.7501 0.7501 0.7498  -0.01
H: 0.2499 0.2499 0.2502  -0.01
Pu: 0.0000 0.0000 0.0000  5.32
Ce: 0.5000 0.5000 0.5000  0.41

Stability comparison, relative energies in kJ/mol of atoms: i 32.3; ii 0.0

i:
A plane-wave DFT calculation with PBE was carried out for a relaxed structure of CePuH.

Values from the calculation:
Volume, Å³ per cell: 58.8

Unit cell a=3.5514 b=3.5514 c=5.3797 alpha=90.00 beta=90.00 gamma=120.00
Last column: magnetic moment on the atom in μB.
Sites, in units of the cell vectors:
Pu: 0.0000 0.0000 0.9194  5.48
Ce: 0.6667 0.3333 0.4126  0.55
H: 0.3333 0.6667 0.6680  -0.01

ii:
A plane-wave DFT calculation with PBE was carried out for a relaxed structure of CePuH.

Values from the calculation:
Volume, Å³ per cell: 198.7

Unit cell a=3.7796 b=7.6828 c=7.0366 alpha=103.44 beta=90.00 gamma=90.00
Sites, in units of the cell vectors:
H: 0.2677 0.1342 0.6597
H: 0.2323 0.1342 0.1597
H: 0.7677 0.8658 0.8403
H: 0.7323 0.8658 0.3403
Pu: 0.0304 0.4102 0.7275
Pu: 0.9696 0.5898 0.2725
Pu: 0.5304 0.5898 0.7725
Pu: 0.4696 0.4102 0.2275
Ce: 0.7509 0.1928 0.9231
Ce: 0.7491 0.1928 0.4231
Ce: 0.2491 0.8072 0.0769
Ce: 0.2509 0.8072 0.5769

Stability comparison, relative energies in kJ/mol of atoms: i 2.2; ii 0.0

i:
A plane-wave DFT calculation with PBE was carried out for a relaxed structure of CeH2Rh.

Values from the calculation:
Volume, Å³ per cell: 53.8

Unit cell a=4.1752 b=4.1752 c=4.3026 alpha=60.98 beta=60.98 gamma=60.00
Last column: magnetic moment on the atom in μB.
Sites, in units of the cell vectors:
Rh: 0.0000 0.0000 0.0000  -0.04
Ce: 0.5000 0.5000 0.5000  0.53
H: 0.1586 0.1586 0.5243  0.00
H: 0.8414 0.8414 0.4757  0.00

ii:
A plane-wave DFT calculation with PBE was carried out for a relaxed structure of CeH2Rh.

Values from the calculation:
Volume, Å³ per cell: 49.1

Unit cell a=3.7267 b=3.5371 c=3.7264 alpha=90.13 beta=90.00 gamma=90.00
Last column: magnetic moment on the atom in μB.
Sites, in units of the cell vectors:
Ce: 0.5606 0.3464 0.9724  0.82
H: 0.5606 0.8463 0.4724  0.00
H: 0.0606 0.8464 0.9724  0.00
Rh: 0.0605 0.8462 0.4723  -0.13

Stability comparison, relative energies in kJ/mol of atoms: i 4.4; ii 0.0

i:
A plane-wave DFT calculation with PBE was carried out for a relaxed structure of Ce2H4Rh.

Values from the calculation:
Volume, Å³ per cell: 85.4

Unit cell a=3.4569 b=3.4569 c=7.5494 alpha=103.24 beta=103.24 gamma=90.00
Last column: magnetic moment on the atom in μB.
Sites, in units of the cell vectors:
H: 0.1897 0.1897 0.3793  -0.01
H: 0.0000 0.5000 0.0000  0.00
H: 0.5000 0.0000 0.0000  0.00
H: 0.8104 0.8104 0.6207  -0.01
Rh: 0.0000 0.0000 0.0000  -0.02
Ce: 0.3539 0.3539 0.7079  0.83
Ce: 0.6461 0.6461 0.2921  0.83

ii:
A plane-wave DFT calculation with PBE was carried out for a relaxed structure of Ce2H4Rh.

Values from the calculation:
Volume, Å³ per cell: 182.8

Unit cell a=5.9007 b=4.5601 c=7.3951 alpha=90.00 beta=113.23 gamma=90.00
Last column: magnetic moment on the atom in μB.
Sites, in units of the cell vectors:
H: 0.5595 0.0219 0.2568  0.00
H: 0.4405 0.9781 0.7432  0.00
H: 0.4405 0.5219 0.7432  0.00
H: 0.9104 0.2500 0.0705  0.00
H: 0.5595 0.4781 0.2568  0.00
H: 0.0406 0.7500 0.3991  -0.01
H: 0.9594 0.2500 0.6009  -0.01
H: 0.0896 0.7500 0.9295  0.00
Rh: 0.6666 0.2500 0.7948  -0.06
Rh: 0.3334 0.7500 0.2052  -0.06
Ce: 0.7823 0.7500 0.5740  0.65
Ce: 0.2177 0.2500 0.4260  0.65
Ce: 0.7811 0.7500 0.0666  0.53
Ce: 0.2189 0.2500 0.9334  0.53

Stability comparison, relative energies in kJ/mol of atoms: i 1.1; ii 0.0

i:
A plane-wave DFT calculation with PBE was carried out for a relaxed structure of Ce2HS.

Values from the calculation:
Volume, Å³ per cell: 78.8

Unit cell a=3.7383 b=3.7383 c=6.8591 alpha=74.19 beta=74.19 gamma=60.00
Last column: magnetic moment on the atom in μB.
Sites, in units of the cell vectors:
S: 0.6680 0.6680 0.9959  -0.01
H: 0.4966 0.4966 0.5102  0.00
Ce: 0.0892 0.0892 0.7325  0.50
Ce: 0.2462 0.2462 0.2614  0.53

ii:
A plane-wave DFT calculation with PBE was carried out for a relaxed structure of Ce2HS.

Values from the calculation:
Volume, Å³ per cell: 82.1

Unit cell a=3.8164 b=3.8164 c=6.5064 alpha=90.01 beta=90.00 gamma=120.00
Last column: magnetic moment on the atom in μB.
Sites, in units of the cell vectors:
H: 0.0000 0.5000 0.0000  -0.02
S: 0.0000 0.5000 0.5000  -0.01
Ce: 0.6667 0.8334 0.7641  1.03
Ce: 0.3333 0.1666 0.2359  1.03

Stability comparison, relative energies in kJ/mol of atoms: i 4.9; ii 0.0

i:
A plane-wave DFT calculation with PBE was carried out for a relaxed structure of Ce5Sb2H4.

Values from the calculation:
Volume, Å³ per cell: 216.0

Unit cell a=6.4507 b=6.0061 c=7.3536 alpha=76.38 beta=63.98 gamma=57.52
Last column: magnetic moment on the atom in μB.
Sites, in units of the cell vectors:
Ce: 0.0000 0.5000 0.0000  0.97
Ce: 0.5000 0.0000 0.0000  0.96
Ce: 0.5000 0.5000 0.0000  0.97
Ce: 0.2500 0.5000 0.5000  1.12
Ce: 0.7500 0.5000 0.5000  1.12
H: 0.5525 0.6484 0.2466  -0.01
H: 0.4475 0.3516 0.7534  -0.01
H: 0.7991 0.6484 0.7534  -0.01
H: 0.2009 0.3516 0.2466  -0.01
Sb: 0.1332 0.0000 0.7336  -0.04
Sb: 0.8668 0.0000 0.2664  -0.04

ii:
A plane-wave DFT calculation with PBE was carried out for a relaxed structure of Ce5Sb2H4.

Values from the calculation:
Volume, Å³ per cell: 211.7

Unit cell a=6.3689 b=6.7328 c=6.6234 alpha=88.59 beta=61.26 gamma=61.77
Last column: magnetic moment on the atom in μB.
Sites, in units of the cell vectors:
Ce: 0.0000 0.5000 0.5000  0.98
Ce: 0.7080 0.2044 0.8301  1.01
Ce: 0.2576 0.2044 0.8301  1.01
Ce: 0.7424 0.7956 0.1699  1.01
Ce: 0.2920 0.7956 0.1699  1.01
Sb: 0.2903 0.7360 0.6833  -0.03
Sb: 0.7097 0.2640 0.3167  -0.03
H: 0.8030 0.4945 0.8994  -0.01
H: 0.1970 0.5055 0.1006  -0.01
H: 0.3520 0.1327 0.1633  -0.01
H: 0.6480 0.8673 0.8367  -0.01

Stability comparison, relative energies in kJ/mol of atoms: i 2.9; ii 0.0